Compound: Pm3Ni9SnGe2
Source: Alexandria via LeMat-Bulk
Functional: PBE
Structure: optimized geometry

Unit cell a=6.003 b=6.003 c=8.994 alpha=90.00 beta=90.00 gamma=120.00
Sites, in units of the cell vectors:
Pm 0.000 0.000 0.000
Pm 0.333 0.667 0.710
Pm 0.667 0.333 0.290
Ni 0.135 0.865 0.269
Ni 0.865 0.135 0.731
Ni 0.270 0.135 0.731
Ni 0.135 0.270 0.269
Ni 0.865 0.730 0.731
Ni 0.500 0.000 0.000
Ni 0.000 0.500 0.000
Ni 0.730 0.865 0.269
Ni 0.500 0.500 0.000
Sn 0.000 0.000 0.500
Ge 0.667 0.333 0.825
Ge 0.333 0.667 0.175

- Total energy: -82.17 eV per cell
- ΔH_f (0 K): -176 meV/atom
- Density: 7.3 g/cm3